{"formula": "LiCa2FeN2", "functional": "PBE", "state": "relaxed", "cell": [[5.3486, 0.0000, 0.0000], [0.0000, 5.3486, 0.0000], [0.0000, 0.0000, 6.7035]], "species": ["Li", "Li", "Ca", "Ca", "Ca", "Ca", "Fe", "Fe", "N", "N", "N", "N"], "fractional_positions": [[0.0000, 0.0000, 0.0000], [0.5000, 0.5000, 0.5000], [0.0000, 0.5000, 0.2500], [0.0000, 0.5000, 0.7500], [0.5000, 0.0000, 0.2500], [0.5000, 0.0000, 0.7500], [0.0000, 0.0000, 0.5000], [0.5000, 0.5000, 0.0000], [0.2415, 0.2415, 0.5000], [0.2585, 0.7415, 0.0000], [0.7415, 0.2585, 0.0000], [0.7585, 0.7585, 0.5000]], "m_tot_mub_per_cell": 6.1, "e_tot_ev_per_atom": -5.7653, "crystal_system": "tetragonal"}